VASP calculation (PBE+U) on a relaxed Li3V2P3O12 crystal.

Unit cell a=8.7723 b=8.7671 c=12.2842 alpha=90.00 beta=90.00 gamma=90.00
With the nearest neighbours (Å) after each atom.
Fractional coordinates of all 80 atoms:
O: 0.0933 0.5199 0.3143  1 P 1.57
V: 0.9934 0.7098 0.3899  6 O 1.97-2.15
P: 0.7952 0.0000 0.5000  4 O 1.54-1.56
V: 0.9934 0.2902 0.6101  6 O 1.97-2.15
O: 0.7008 0.8920 0.5727  1 P 1.54
O: 0.9386 0.2648 0.7794  1 P 1.57
O: 0.5848 0.2277 0.2290  1 P 1.57
V: 0.5045 0.2895 0.8880  6 O 1.96-2.11
O: 0.5979 0.3097 0.0323  1 P 1.51
P: 0.1437 0.6436 0.6475  4 O 1.52-1.57
O: 0.4132 0.9879 0.6795  1 P 1.55
O: 0.6812 0.1510 0.8373  1 P 1.55
Li: 0.9468 0.4820 0.8143  4 O 1.90-2.07
Li: 0.8039 0.1794 0.2893  4 O 2.02-2.13
P: 0.3562 0.8513 0.3529  4 O 1.51-1.57
Li: 0.9468 0.5180 0.1857  4 O 1.90-2.07
O: 0.1797 0.1547 0.6631  1 P 1.56
P: 0.8563 0.1436 0.8525  4 O 1.52-1.57
Li: 0.8039 0.8206 0.7107  4 O 2.02-2.13
Li: 0.5273 0.0224 0.1808  4 O 1.95-2.05
V: 0.0066 0.7902 0.8899  6 O 1.97-2.15
O: 0.2992 0.3920 0.9273  1 P 1.54
P: 0.1437 0.3564 0.3525  4 O 1.52-1.57
O: 0.5990 0.5908 0.5780  1 P 1.56
V: 0.4955 0.2105 0.3880  6 O 1.96-2.11
O: 0.7008 0.1080 0.4273  1 P 1.54
O: 0.0977 0.4137 0.0801  1 P 1.56
V: 0.4955 0.7895 0.6120  6 O 1.96-2.11
O: 0.9067 0.0199 0.1857  1 P 1.57
O: 0.5979 0.6903 0.9677  1 P 1.51
V: 0.5045 0.7105 0.1120  6 O 1.96-2.11
P: 0.2938 0.0000 0.0000  4 O 1.53-1.56
O: 0.1979 0.1039 0.0731  1 P 1.53
O: 0.4021 0.8097 0.4677  1 P 1.51
O: 0.1797 0.8453 0.3369  1 P 1.56
Li: 0.1961 0.3206 0.7893  4 O 2.02-2.13
O: 0.5990 0.4092 0.4220  1 P 1.56
Li: 0.1961 0.6794 0.2107  4 O 2.02-2.13
O: 0.0959 0.6746 0.5303  1 P 1.52
O: 0.4010 0.0908 0.9220  1 P 1.56
O: 0.9023 0.9137 0.4199  1 P 1.56
Li: 0.4727 0.5224 0.3192  4 O 1.95-2.05
P: 0.6438 0.6487 0.8529  4 O 1.51-1.57
O: 0.5848 0.7723 0.7710  1 P 1.57
O: 0.0933 0.4801 0.6857  1 P 1.57
O: 0.5868 0.5121 0.1795  1 P 1.55
O: 0.4152 0.2723 0.7290  1 P 1.57
O: 0.4010 0.9092 0.0780  1 P 1.56
P: 0.2048 0.5000 0.0000  4 O 1.54-1.56
O: 0.1979 0.8961 0.9269  1 P 1.53
O: 0.0977 0.5863 0.9199  1 P 1.56
Li: 0.5273 0.9776 0.8192  4 O 1.95-2.05
O: 0.4132 0.0121 0.3205  1 P 1.55
O: 0.9067 0.9801 0.8143  1 P 1.57
O: 0.3188 0.6510 0.6627  1 P 1.55
Li: 0.4727 0.4776 0.6808  4 O 1.95-2.05
O: 0.6812 0.8490 0.1627  1 P 1.55
O: 0.3188 0.3490 0.3373  1 P 1.55
P: 0.6438 0.3513 0.1471  4 O 1.51-1.57
O: 0.4021 0.1903 0.5323  1 P 1.51
O: 0.9386 0.7352 0.2206  1 P 1.57
O: 0.2992 0.6080 0.0727  1 P 1.54
P: 0.8563 0.8564 0.1475  4 O 1.52-1.57
O: 0.8021 0.3961 0.5731  1 P 1.53
O: 0.0614 0.2352 0.2794  1 P 1.57
O: 0.9023 0.0863 0.5801  1 P 1.56
O: 0.9041 0.8254 0.0303  1 P 1.52
O: 0.9041 0.1746 0.9697  1 P 1.52
O: 0.8203 0.6547 0.8369  1 P 1.56
Li: 0.0532 0.9820 0.6857  4 O 1.90-2.07
O: 0.8203 0.3453 0.1631  1 P 1.56
O: 0.0614 0.7648 0.7206  1 P 1.57
P: 0.7062 0.5000 0.5000  4 O 1.53-1.56
O: 0.8021 0.6039 0.4269  1 P 1.53
Li: 0.0532 0.0180 0.3143  4 O 1.90-2.07
O: 0.4152 0.7277 0.2710  1 P 1.57
P: 0.3562 0.1487 0.6471  4 O 1.51-1.57
O: 0.0959 0.3254 0.4697  1 P 1.52
O: 0.5868 0.4879 0.8205  1 P 1.55
V: 0.0066 0.2098 0.1101  6 O 1.97-2.15

## Properties
Excess energy over the best structure of this formula in the dataset, eV/atom: 0.000
Energy, eV/atom: -7.113
Spin magnetization, μB per atom: 0.20